(1)
ReW2Se: optimized geometry, GGA-PBE.

Geometry as POSCAR:
```
ReW2Se
1.0
4.873 0.003 -0.001
3.917 2.899 -0.001
1.165 0.385 4.532
Re W Se
1 2 1
direct
0.498 0.498 0.551 Re
0.764 0.764 0.680 W
0.989 0.989 0.061 W
0.248 0.248 0.208 Se
```

* uncorrected formation energy: 0.45 eV/atom



(2)
ReW2Se: optimized geometry, GGA-PBE.

Geometry as POSCAR:
```
ReW2Se
1.0
-1.444 2.477 0.726
-2.056 -0.132 -3.643
-3.742 -2.830 2.215
W Se Re
2 1 1
direct
0.000 0.000 0.001 W
0.500 0.500 0.259 W
0.500 0.500 0.755 Se
0.000 0.000 0.485 Re
```

* uncorrected formation energy: 0.54 eV/atom



(3)
ReW2Se: optimized geometry, GGA-PBE.

Geometry as POSCAR:
```
ReW2Se
1.0
5.312 0.000 -0.002
2.530 4.671 0.002
-3.390 -3.228 2.512
W Se Re
2 1 1
direct
0.027 0.027 0.000 W
0.739 0.239 0.500 W
0.254 0.754 0.500 Se
0.480 0.480 0.000 Re
```

* uncorrected formation energy: 0.45 eV/atom



(4)
ReW4Se: optimized geometry, GGA-PBE.

Geometry as POSCAR:
```
ReW4Se
1.0
0.000 3.727 3.727
3.727 0.000 3.727
3.727 3.727 0.000
Re Se W
1 1 4
direct
0.750 0.750 0.750 Re
0.000 0.000 0.000 Se
0.374 0.374 0.374 W
0.374 0.877 0.374 W
0.374 0.374 0.877 W
0.877 0.374 0.374 W
```

* uncorrected formation energy: 0.90 eV/atom



(5)
ReW2Se6: optimized geometry, GGA-PBE.

Geometry as POSCAR:
```
ReW2Se6
1.0
3.198 0.000 -0.733
-0.540 7.593 -2.356
0.299 -0.601 8.650
W Re Se
2 1 6
direct
0.813 0.613 0.626 W
0.187 0.387 0.374 W
0.500 0.000 0.000 Re
0.339 0.397 0.677 Se
0.983 0.747 0.966 Se
0.661 0.603 0.323 Se
0.341 0.890 0.682 Se
0.017 0.253 0.034 Se
0.659 0.110 0.318 Se
```

* uncorrected formation energy: -0.30 eV/atom



(6)
ReW2Se: optimized geometry, GGA-PBE.

Geometry as POSCAR:
```
ReW2Se
1.0
2.805 -0.010 0.000
-1.094 2.582 0.000
0.000 0.000 9.080
W Re Se
2 1 1
direct
0.000 0.000 0.011 W
0.000 0.000 0.489 W
0.500 0.500 0.250 Re
0.500 0.500 0.750 Se
```

* uncorrected formation energy: 0.58 eV/atom



(7)
ReW2Se: optimized geometry, GGA-PBE.

Geometry as POSCAR:
```
ReW2Se
1.0
-2.704 2.554 2.188
-0.895 -2.279 1.555
3.342 0.121 3.990
Re W Se
1 2 1
direct
0.000 0.624 0.499 Re
0.000 0.024 0.996 W
0.500 0.287 0.250 W
0.500 0.565 0.755 Se
```

* uncorrected formation energy: 0.47 eV/atom



(8)
ReW2Se: optimized geometry, GGA-PBE.

Geometry as POSCAR:
```
ReW2Se
1.0
8.811 0.000 0.000
8.328 2.876 0.000
8.328 1.398 2.514
W Re Se
2 1 1
direct
0.999 0.999 0.999 W
0.501 0.501 0.501 W
0.750 0.750 0.750 Re
0.250 0.250 0.250 Se
```

* uncorrected formation energy: 0.38 eV/atom



Values for E, eV per atom, ordered as above
-10.009 -9.920 -10.014 -10.393 -6.883 -9.875 -9.988 -10.075